1.
LiTiP2Cl | PBEsol | relaxed

The calculation puts the raw formation energy at -38.1 kJ per mole of atoms. As for the total energy: -5.17 eV per atom. The total moment comes out at 0.00 μB/cell.

The space group is P4/mmm (No. 123) and the conventional cell measures 4.619, 4.619 and 5.102 Å, with angles of 90.00, 90.00 and 90.00 degrees. The distinct sites, in fractional coordinates, are Li at (0.000, 0.000, 0.000), Ti at (0.500, 0.500, 0.500), P at (0.000, 0.500, 0.500) and Cl at (0.500, 0.500, 0.000).

=====

2.
SrCd2Pt | PBEsol | relaxed

As for the total energy: -3.22 eV per atom. The total moment comes out at 0.00 μB/cell. The value obtained for the formation energy from the elements is -0.424 eV/atom.

The space group is Cm (No. 8) and the conventional cell measures 8.148, 4.712 and 5.867 Å, with angles of 90.00, 117.54 and 90.00 degrees. The distinct sites, in fractional coordinates, are Sr at (0.000, 0.000, 0.000), Cd at (0.032, 0.500, 0.598), Cd at (0.296, 0.500, 0.389) and Pt at (0.195, 0.000, 0.588).

=====

3.
RbGeTe2 | PBEsol | relaxed

The calculation puts the raw formation energy at -33.6 kJ per mole of atoms. As for the total energy: -3.60 eV per atom. The total moment comes out at 0.01 μB/cell.

The space group is I-42d (No. 122) and the conventional cell measures 8.287, 8.287 and 9.028 Å, with angles of 90.00, 90.00 and 90.00 degrees. The distinct sites, in fractional coordinates, are Rb at (0.000, 0.000, 0.000), Ge at (0.000, 0.000, 0.500) and Te at (0.160, 0.250, 0.625).

=====

4.
MnCr2Mo | PBEsol | relaxed

As for the total energy: -10.37 eV per atom. The excess energy over the best structure of this formula in the dataset is 27.8 meV per atom. The total moment comes out at 2.34 μB/cell. The value obtained for the formation energy from the elements is 0.131 eV/atom.

The space group is Cmm2 (No. 35) and the conventional cell measures 2.922, 4.146 and 8.029 Å, with angles of 90.00, 90.00 and 90.00 degrees. The distinct sites, in fractional coordinates, are Mn at (0.000, 0.000, 0.000), Cr at (0.000, 0.000, 0.470), Cr at (0.000, 0.500, 0.233) and Mo at (0.000, 0.500, 0.737).

=====

5.
FeMoRu2 | PBEsol | relaxed

As for the total energy: -10.14 eV per atom. The excess energy over the best structure of this formula in the dataset is 55.3 meV per atom. The total moment comes out at 0.00 μB/cell. The value obtained for the formation energy from the elements is 0.130 eV/atom.

The space group is P4mm (No. 99) and the conventional cell measures 2.650, 2.650 and 7.389 Å, with angles of 90.00, 90.00 and 90.00 degrees. The distinct sites, in fractional coordinates, are Fe at (0.000, 0.000, 0.000), Mo at (0.500, 0.500, 0.241), Ru at (0.000, 0.000, 0.519) and Ru at (0.500, 0.500, 0.770).

=====

6.
BeAgOs2 | PBEsol | relaxed

As for the total energy: -7.56 eV per atom. The total moment comes out at 0.00 μB/cell. The value obtained for the formation energy from the elements is 0.374 eV/atom.

The space group is R-3m (No. 166, hexagonal axes) and the conventional cell measures 2.6787, 2.6787 and 25.8460 Å, with angles of 90.00, 90.00 and 120.00 degrees. The distinct sites, in fractional coordinates, are Be at (0.0000, 0.0000, 0.0000), Ag at (0.0000, 0.0000, 0.5000) and Os at (0.0000, 0.0000, 0.2604).

=====

7.
LaAs2 | PBEsol | relaxed

As for the total energy: -6.25 eV per atom. The total moment comes out at 0.00 μB/cell. The value obtained for the formation energy from the elements is -1.068 eV/atom.

The space group is P2_1/c (No. 14) and the conventional cell measures 4.181, 6.831 and 10.631 Å, with angles of 90.00, 107.07 and 90.00 degrees. The distinct sites, in fractional coordinates, are La at (0.091, 0.180, 0.363), As at (0.273, 0.623, 0.449) and As at (0.462, 0.151, 0.675).

=====

8.
FeAgHg | PBEsol | relaxed

As for the total energy: -3.53 eV per atom. The total moment comes out at 11.84 μB/cell. The value obtained for the formation energy from the elements is 0.747 eV/atom.

The space group is F-43m (No. 216) and the conventional cell measures 6.174, 6.174 and 6.174 Å, with angles of 90.00, 90.00 and 90.00 degrees. The distinct sites, in fractional coordinates, are Fe at (0.000, 0.000, 0.000), Ag at (0.000, 0.000, 0.500) and Hg at (0.250, 0.250, 0.750).